Record 1
# VPO5 (PBEsol, optimized geometry)
# Relative energy among the computed polymorphs, meV per atom: 10
# Uncorrected formation energy, eV/atom: -2.243
data_VPO5
_space_group_name_H-M_alt 'P 42/m b c'
_space_group_IT_number 135
_space_group_name_Hall '-P 4c 2ab'
_cell_length_a 9.162
_cell_length_b 9.162
_cell_length_c 8.655
_cell_angle_alpha 90.00
_cell_angle_beta 90.00
_cell_angle_gamma 90.00
loop_
_atom_site_label
_atom_site_type_symbol
_atom_site_fract_x
_atom_site_fract_y
_atom_site_fract_z
V1 V 0.090 0.249 0.000
P1 P 0.000 0.000 0.250
P2 P 0.000 0.500 0.250
O1 O 0.004 0.637 0.149
O2 O 0.094 0.101 0.149
O3 O 0.192 0.249 0.500

***

Record 2
# CoCuCl4 (PBEsol, optimized geometry)
# Uncorrected formation energy, eV/atom: 1.180
data_CoCuCl4
_space_group_name_H-M_alt 'F -4 3 m'
_space_group_IT_number 216
_space_group_name_Hall 'F -4 2 3'
_cell_length_a 7.875
_cell_length_b 7.875
_cell_length_c 7.875
_cell_angle_alpha 90.00
_cell_angle_beta 90.00
_cell_angle_gamma 90.00
loop_
_atom_site_label
_atom_site_type_symbol
_atom_site_fract_x
_atom_site_fract_y
_atom_site_fract_z
Co1 Co 0.000 0.000 0.000
Cu1 Cu 0.250 0.250 0.750
Cl1 Cl 0.125 0.125 0.375

***

Record 3
# TaAuS2 (PBEsol, optimized geometry)
# Uncorrected formation energy, eV/atom: -0.117
data_TaAuS2
_space_group_name_H-M_alt 'I -4 2 d'
_space_group_IT_number 122
_space_group_name_Hall 'I -4 2bw'
_cell_length_a 5.790
_cell_length_b 5.790
_cell_length_c 10.007
_cell_angle_alpha 90.00
_cell_angle_beta 90.00
_cell_angle_gamma 90.00
loop_
_atom_site_label
_atom_site_type_symbol
_atom_site_fract_x
_atom_site_fract_y
_atom_site_fract_z
Ta1 Ta 0.000 0.000 0.000
Au1 Au 0.000 0.000 0.500
S1 S 0.233 0.750 0.125

***

Record 4
Zr2AgAu: optimized geometry, PBEsol.

Cell and atoms, written as CIF:
```
data_Zr2AgAu
_space_group_name_H-M_alt 'P m m m'
_space_group_IT_number 47
_cell_length_a 3.016
_cell_length_b 4.202
_cell_length_c 5.919
_cell_angle_alpha 90.00
_cell_angle_beta 90.00
_cell_angle_gamma 90.00
loop_
_space_group_symop_operation_xyz
'x,y,z'
'-x,-y,-z'
'-x,-y,z'
'x,y,-z'
'x,-y,-z'
'-x,y,z'
'-x,y,-z'
'x,-y,z'
loop_
_atom_site_label
_atom_site_type_symbol
_atom_site_fract_x
_atom_site_fract_y
_atom_site_fract_z
Zr1 Zr 0.000 0.000 0.246
Ag1 Ag 0.500 0.500 0.500
Au1 Au 0.500 0.500 0.000
```

***

Record 5
# FeCo2Mo (PBEsol, optimized geometry)
# Relative energy among the computed polymorphs, meV per atom: 74
data_FeCo2Mo
_space_group_name_H-M_alt 'P m m m'
_space_group_IT_number 47
_cell_length_a 2.545
_cell_length_b 3.529
_cell_length_c 5.069
_cell_angle_alpha 90.00
_cell_angle_beta 90.00
_cell_angle_gamma 90.00
loop_
_space_group_symop_operation_xyz
'x,y,z'
'-x,-y,-z'
'-x,-y,z'
'x,y,-z'
'x,-y,-z'
'-x,y,z'
'-x,y,-z'
'x,-y,z'
loop_
_atom_site_label
_atom_site_type_symbol
_atom_site_fract_x
_atom_site_fract_y
_atom_site_fract_z
Fe1 Fe 0.000 0.000 0.000
Co1 Co 0.500 0.500 0.236
Mo1 Mo 0.000 0.000 0.500

***

Record 6
# AlSiPt2 (PBEsol, optimized geometry)
# Uncorrected formation energy, eV/atom: -0.631
data_AlSiPt2
_space_group_name_H-M_alt 'I -4 m 2'
_space_group_IT_number 119
_space_group_name_Hall 'I -4 -2'
_cell_length_a 3.696
_cell_length_b 3.696
_cell_length_c 8.275
_cell_angle_alpha 90.00
_cell_angle_beta 90.00
_cell_angle_gamma 90.00
loop_
_atom_site_label
_atom_site_type_symbol
_atom_site_fract_x
_atom_site_fract_y
_atom_site_fract_z
Al1 Al 0.000 0.000 0.000
Si1 Si 0.000 0.500 0.750
Pt1 Pt 0.000 0.000 0.500
Pt2 Pt 0.000 0.500 0.250

***

Record 7
# CdNi6Sb (PBEsol, optimized geometry)
# Uncorrected formation energy, eV/atom: -0.046
data_CdNi6Sb
_space_group_name_H-M_alt 'C m m m'
_space_group_IT_number 65
_space_group_name_Hall '-C 2 2'
_cell_length_a 7.359
_cell_length_b 10.359
_cell_length_c 10.369
_cell_angle_alpha 90.00
_cell_angle_beta 90.00
_cell_angle_gamma 90.00
loop_
_atom_site_label
_atom_site_type_symbol
_atom_site_fract_x
_atom_site_fract_y
_atom_site_fract_z
Cd1 Cd 0.000 0.000 0.248
Cd2 Cd 0.000 0.247 0.000
Ni1 Ni 0.000 0.000 0.000
Ni2 Ni 0.000 0.000 0.500
Ni3 Ni 0.000 0.250 0.253
Ni4 Ni 0.000 0.500 0.000
Ni5 Ni 0.000 0.500 0.500
Ni6 Ni 0.247 0.375 0.126
Ni7 Ni 0.247 0.376 0.376
Sb1 Sb 0.000 0.247 0.500
Sb2 Sb 0.000 0.500 0.246

***

Record 8
# Ca2AlHg (PBEsol, optimized geometry)
# Relative energy among the computed polymorphs, meV per atom: 11
data_Ca2AlHg
_space_group_name_H-M_alt 'F m -3 m'
_space_group_IT_number 225
_space_group_name_Hall '-F 4 2 3'
_cell_length_a 7.404
_cell_length_b 7.404
_cell_length_c 7.404
_cell_angle_alpha 90.00
_cell_angle_beta 90.00
_cell_angle_gamma 90.00
loop_
_atom_site_label
_atom_site_type_symbol
_atom_site_fract_x
_atom_site_fract_y
_atom_site_fract_z
Ca1 Ca 0.250 0.250 0.250
Al1 Al 0.000 0.000 0.000
Hg1 Hg 0.000 0.000 0.500

***

Record 9
# AlTlTe2 (PBEsol, optimized geometry)
# Uncorrected formation energy, eV/atom: -0.158
data_AlTlTe2
_space_group_name_H-M_alt 'P 4 m m'
_space_group_IT_number 99
_cell_length_a 3.797
_cell_length_b 3.797
_cell_length_c 9.064
_cell_angle_alpha 90.00
_cell_angle_beta 90.00
_cell_angle_gamma 90.00
loop_
_space_group_symop_operation_xyz
'x,y,z'
'-y,x,z'
'-x,-y,z'
'y,-x,z'
'-x,y,z'
'y,x,z'
'x,-y,z'
'-y,-x,z'
loop_
_atom_site_label
_atom_site_type_symbol
_atom_site_fract_x
_atom_site_fract_y
_atom_site_fract_z
Al1 Al 0.000 0.000 0.000
Tl1 Tl 0.500 0.500 0.487
Te1 Te 0.000 0.000 0.289
Te2 Te 0.500 0.500 0.908

***

Record 10
# KZr2Os (PBEsol, optimized geometry)
# Relative energy among the computed polymorphs, meV per atom: 172
data_KZr2Os
_space_group_name_H-M_alt 'F m -3 m'
_space_group_IT_number 225
_space_group_name_Hall '-F 4 2 3'
_cell_length_a 6.821
_cell_length_b 6.821
_cell_length_c 6.821
_cell_angle_alpha 90.00
_cell_angle_beta 90.00
_cell_angle_gamma 90.00
loop_
_atom_site_label
_atom_site_type_symbol
_atom_site_fract_x
_atom_site_fract_y
_atom_site_fract_z
K1 K 0.000 0.000 0.000
Zr1 Zr 0.250 0.250 0.250
Os1 Os 0.000 0.000 0.500

***

Record 11
# KScMo2 (PBEsol, optimized geometry)
# Relative energy among the computed polymorphs, meV per atom: 728
data_KScMo2
_space_group_name_H-M_alt 'P 4/m m m'
_space_group_IT_number 123
_space_group_name_Hall '-P 4 2'
_cell_length_a 5.440
_cell_length_b 5.440
_cell_length_c 2.651
_cell_angle_alpha 90.00
_cell_angle_beta 90.00
_cell_angle_gamma 90.00
loop_
_atom_site_label
_atom_site_type_symbol
_atom_site_fract_x
_atom_site_fract_y
_atom_site_fract_z
K1 K 0.000 0.000 0.000
Sc1 Sc 0.500 0.500 0.000
Mo1 Mo 0.000 0.500 0.500

***

Record 12
# CuPbCl3 (PBEsol, optimized geometry)
# Uncorrected formation energy, eV/atom: -0.702
data_CuPbCl3
_space_group_name_H-M_alt 'P b c n'
_space_group_IT_number 60
_cell_length_a 5.480
_cell_length_b 12.841
_cell_length_c 8.315
_cell_angle_alpha 90.00
_cell_angle_beta 90.00
_cell_angle_gamma 90.00
loop_
_space_group_symop_operation_xyz
'x,y,z'
'-x,-y,-z'
'-x+1/2,-y+1/2,z+1/2'
'x+1/2,y+1/2,-z+1/2'
'x+1/2,-y+1/2,-z'
'-x+1/2,y+1/2,z'
'-x,y,-z+1/2'
'x,-y,z+1/2'
loop_
_atom_site_label
_atom_site_type_symbol
_atom_site_fract_x
_atom_site_fract_y
_atom_site_fract_z
Cu1 Cu 0.000 0.000 0.000
Pb1 Pb 0.000 0.412 0.250
Cl1 Cl 0.000 0.156 0.750
Cl2 Cl 0.203 0.413 0.595

***

Record 13
CaSn2HS: optimized geometry, PBEsol.

Cell and atoms, written as CIF:
```
data_CaSn2HS
_space_group_name_H-M_alt 'P 4/m m m'
_space_group_IT_number 123
_space_group_name_Hall '-P 4 2'
_cell_length_a 5.834
_cell_length_b 5.834
_cell_length_c 3.741
_cell_angle_alpha 90.00
_cell_angle_beta 90.00
_cell_angle_gamma 90.00
loop_
_atom_site_label
_atom_site_type_symbol
_atom_site_fract_x
_atom_site_fract_y
_atom_site_fract_z
Ca1 Ca 0.000 0.000 0.000
Sn1 Sn 0.000 0.500 0.000
H1 H 0.000 0.000 0.500
S1 S 0.500 0.500 0.500
```

***

Record 14
# AgSn3N (PBEsol, optimized geometry)
# Uncorrected formation energy, eV/atom: 0.467
data_AgSn3N
_space_group_name_H-M_alt 'P m -3 m'
_space_group_IT_number 221
_space_group_name_Hall '-P 4 2 3'
_cell_length_a 4.684
_cell_length_b 4.684
_cell_length_c 4.684
_cell_angle_alpha 90.00
_cell_angle_beta 90.00
_cell_angle_gamma 90.00
loop_
_atom_site_label
_atom_site_type_symbol
_atom_site_fract_x
_atom_site_fract_y
_atom_site_fract_z
Ag1 Ag 0.000 0.000 0.000
Sn1 Sn 0.000 0.500 0.500
N1 N 0.500 0.500 0.500

***

Record 15
CsZn3Cu: optimized geometry, PBEsol.

Cell and atoms, written as CIF:
```
data_CsZn3Cu
_space_group_name_H-M_alt 'P m -3 m'
_space_group_IT_number 221
_space_group_name_Hall '-P 4 2 3'
_cell_length_a 6.526
_cell_length_b 6.526
_cell_length_c 6.526
_cell_angle_alpha 90.00
_cell_angle_beta 90.00
_cell_angle_gamma 90.00
loop_
_atom_site_label
_atom_site_type_symbol
_atom_site_fract_x
_atom_site_fract_y
_atom_site_fract_z
Cs1 Cs 0.000 0.000 0.000
Zn1 Zn 0.000 0.000 0.500
Cu1 Cu 0.500 0.500 0.500
```

***

Record 16
# RuBrF2 (PBEsol, optimized geometry)
# Relative energy among the computed polymorphs, meV per atom: 657
# Uncorrected formation energy, eV/atom: 0.022
data_RuBrF2
_space_group_name_H-M_alt 'F m -3 m'
_space_group_IT_number 225
_space_group_name_Hall '-F 4 2 3'
_cell_length_a 5.996
_cell_length_b 5.996
_cell_length_c 5.996
_cell_angle_alpha 90.00
_cell_angle_beta 90.00
_cell_angle_gamma 90.00
loop_
_atom_site_label
_atom_site_type_symbol
_atom_site_fract_x
_atom_site_fract_y
_atom_site_fract_z
Ru1 Ru 0.000 0.000 0.000
Br1 Br 0.000 0.000 0.500
F1 F 0.250 0.250 0.250

***

Record 17
CaScCrPb2: optimized geometry, PBEsol.

Cell and atoms, written as CIF:
```
data_CaScCrPb2
_space_group_name_H-M_alt 'P 4/m m m'
_space_group_IT_number 123
_space_group_name_Hall '-P 4 2'
_cell_length_a 5.551
_cell_length_b 5.551
_cell_length_c 4.924
_cell_angle_alpha 90.00
_cell_angle_beta 90.00
_cell_angle_gamma 90.00
loop_
_atom_site_label
_atom_site_type_symbol
_atom_site_fract_x
_atom_site_fract_y
_atom_site_fract_z
Ca1 Ca 0.000 0.000 0.000
Sc1 Sc 0.500 0.500 0.500
Cr1 Cr 0.000 0.000 0.500
Pb1 Pb 0.000 0.500 0.000
```

***

Record 18
# NiTeRh2O (PBEsol, optimized geometry)
# Uncorrected formation energy, eV/atom: 1.459
data_NiTeRh2O
_space_group_name_H-M_alt 'P 4/m m m'
_space_group_IT_number 123
_space_group_name_Hall '-P 4 2'
_cell_length_a 4.485
_cell_length_b 4.485
_cell_length_c 4.535
_cell_angle_alpha 90.00
_cell_angle_beta 90.00
_cell_angle_gamma 90.00
loop_
_atom_site_label
_atom_site_type_symbol
_atom_site_fract_x
_atom_site_fract_y
_atom_site_fract_z
Ni1 Ni 0.000 0.000 0.000
Te1 Te 0.000 0.000 0.500
Rh1 Rh 0.000 0.500 0.000
O1 O 0.500 0.500 0.500

***

Record 19
# NaBeNb2Se (PBEsol, optimized geometry)
# Uncorrected formation energy, eV/atom: 0.956
data_NaBeNb2Se
_space_group_name_H-M_alt 'P 4/m m m'
_space_group_IT_number 123
_space_group_name_Hall '-P 4 2'
_cell_length_a 4.745
_cell_length_b 4.745
_cell_length_c 4.823
_cell_angle_alpha 90.00
_cell_angle_beta 90.00
_cell_angle_gamma 90.00
loop_
_atom_site_label
_atom_site_type_symbol
_atom_site_fract_x
_atom_site_fract_y
_atom_site_fract_z
Na1 Na 0.000 0.000 0.000
Be1 Be 0.500 0.500 0.000
Nb1 Nb 0.000 0.500 0.500
Se1 Se 0.000 0.000 0.500

***

Record 20
# Li2LaAg2 (PBEsol, optimized geometry)
# Relative energy among the computed polymorphs, meV per atom: 0
data_Li2LaAg2
_space_group_name_H-M_alt 'I 4/m m m'
_space_group_IT_number 139
_space_group_name_Hall '-I 4 2'
_cell_length_a 4.029
_cell_length_b 4.029
_cell_length_c 13.193
_cell_angle_alpha 90.00
_cell_angle_beta 90.00
_cell_angle_gamma 90.00
loop_
_atom_site_label
_atom_site_type_symbol
_atom_site_fract_x
_atom_site_fract_y
_atom_site_fract_z
Li1 Li 0.000 0.500 0.250
La1 La 0.000 0.000 0.000
Ag1 Ag 0.000 0.000 0.393

***

Calculated values (eV per cell) of VASP energy for the records, taken in order: -458.972 -52.080 -102.844 -26.626 -36.049 -52.578 -344.565 -41.994 -14.404 -116.263 -25.028 -71.462 -15.812 -22.283 -2.763 -63.237 -21.555 -23.917 -26.114 -33.586.